1.
## Mg4Rh (GGA-PBEsol)

Data for Mg4Rh after structural relaxation.

Cell lengths 3.6039, 3.6039, 15.6788 Å; angles 90.00, 90.00, 90.00 degrees
Space group I4/mmm (No. 139)
Inequivalent atoms, fractional coordinates:
Mg1 0.0000 0.0000 0.0848 x4
Mg2 0.0000 0.5000 0.2500 x4
Rh1 0.0000 0.0000 0.5000 x2

Results
The calculation puts the formation energy at 0.31 eV per atom. The calculation puts the density at 3.26 g/cm3. The raw total energy comes out at -26.9 eV/cell.

2.
## V2H (GGA-PBEsol)

Data for V2H after structural relaxation.

Cell lengths 5.8126, 5.8126, 6.6010 Å; angles 90.00, 90.00, 90.00 degrees
Space group I4_1/amd (No. 141, origin choice 2)
Inequivalent atoms, fractional coordinates:
V1 0.0000 0.0020 0.2307 x16
H1 0.0000 0.0000 0.5000 x8

Results
The calculation puts the density at 6.13 g/cm3. The raw total energy comes out at -184.9 eV/cell.

3.
## Hf2HPdN (GGA-PBEsol)

Data for Hf2HPdN after structural relaxation.

Cell lengths 4.5183, 4.5183, 3.1562 Å; angles 90.00, 90.00, 90.00 degrees
Space group P4/mmm (No. 123)
Inequivalent atoms, fractional coordinates:
Hf1 0.0000 0.5000 0.0000 x2
H1 0.0000 0.0000 0.5000 x1
Pd1 0.5000 0.5000 0.5000 x1
N1 0.0000 0.0000 0.0000 x1

Results
The calculation puts the density at 12.33 g/cm3. The raw total energy comes out at -41.4 eV/cell.

Which formula does entry 2 have?
V2H

Which value of raw total energy does entry 2 give?
-184.9 eV/cell

Look up the raw total energy of the second one.
-184.9 eV/cell